# MgCdSn4 PBE relaxed
# Total DFT energy (no corrections) in eV/atom: -2.910
data_MgCdSn4
_chemical_formula_sum 'Mg4 Cd4 Sn16'
_space_group_name_H-M_alt 'F -4 3 m'
_space_group_IT_number 216
_space_group_name_Hall 'F -4 2 3'
_cell_length_a 8.802
_cell_length_b 8.802
_cell_length_c 8.802
_cell_angle_alpha 90.00
_cell_angle_beta 90.00
_cell_angle_gamma 90.00
loop_
_atom_site_label
_atom_site_fract_x
_atom_site_fract_y
_atom_site_fract_z
_atom_site_occupancy
Mg1 0.000 0.000 0.000 1
Cd1 0.250 0.250 0.250 1
Sn1 0.125 0.125 0.625 1